Compound: SmTlAs
Source: the Open Quantum Materials Database
Functional: PBE-GGA
Structure: optimized geometry

Structure (CIF):
```
data_SmTlAs
_symmetry_space_group_name_H-M 'P 1'
_symmetry_Int_Tables_number 1
_cell_length_a 5.0160
_cell_length_b 5.0160
_cell_length_c 5.0160
_cell_angle_alpha 60.00
_cell_angle_beta 60.00
_cell_angle_gamma 60.00
loop_
_symmetry_equiv_pos_as_xyz
'x,y,z'
loop_
_atom_site_label
_atom_site_type_symbol
_atom_site_fract_x
_atom_site_fract_y
_atom_site_fract_z
Sm1 Sm 0.0000 0.0000 0.0000
Tl1 Tl 0.7500 0.7500 0.7500
As1 As 0.5000 0.5000 0.5000
```

Distance to the lowest polymorph of the same formula = 183 meV/atom
Space group = F-43m
E = -12.061 eV per cell